A plane-wave DFT calculation with PBE was carried out for TiTcMo14 after structural relaxation. Values from VASP.

```
&SYSTEM
  ibrav = 0, nat = 16, ntyp = 3
/
ATOMIC_SPECIES
Ti 47.87 Ti.upf
Tc 98.00 Tc.upf
Mo 95.94 Mo.upf
CELL_PARAMETERS angstrom
3.156 -4.462 0.000
3.156 4.462 0.000
0.000 0.000 8.938
ATOMIC_POSITIONS angstrom
Ti 0.000 0.000 0.000
Tc 3.156 0.000 0.000
Mo 0.000 0.000 4.469
Mo 1.578 2.231 0.000
Mo 1.578 2.231 4.469
Mo 3.156 2.237 2.216
Mo 3.156 2.237 6.722
Mo 1.577 0.000 2.242
Mo 1.577 0.000 6.696
Mo 1.578 -2.231 0.000
Mo 1.578 -2.231 4.469
Mo 3.156 0.000 4.469
Mo 4.735 0.000 2.242
Mo 4.735 0.000 6.696
Mo 3.156 -2.237 2.216
Mo 3.156 -2.237 6.722
```

DFT formation energy   -0.0564 eV per atom
D(E_F)   11.7 states/eV per cell
M_tot   0.00 μB per formula unit
E   -10.675 eV/atom
Density   9.82 g/cm³



A plane-wave DFT calculation with PBE was carried out for CdCuSn2 after structural relaxation. Values from VASP.

```
&SYSTEM
  ibrav = 0, nat = 12, ntyp = 3
/
ATOMIC_SPECIES
Cd 112.41 Cd.upf
Cu 63.55 Cu.upf
Sn 118.71 Sn.upf
CELL_PARAMETERS angstrom
4.343 0.000 0.000
-2.171 3.761 0.000
0.000 0.000 17.706
ATOMIC_POSITIONS angstrom
Cd 0.000 0.000 0.000
Cd 0.000 2.507 11.804
Cd 2.171 1.254 5.902
Cu 0.000 0.000 14.843
Cu 0.000 2.507 8.941
Cu 2.171 1.254 3.039
Sn 0.000 0.000 4.027
Sn 0.000 0.000 7.732
Sn 0.000 2.507 1.830
Sn 0.000 2.507 15.831
Sn 2.171 1.254 9.929
Sn 2.171 1.254 13.635
```

DFT formation energy   0.0773 eV per atom
D(E_F)   5.5 states/eV per cell
M_tot   0.00 μB per formula unit
E   -3.177 eV/atom
Density   7.12 g/cm³



A plane-wave DFT calculation with PBE was carried out for LiY2Ir after structural relaxation. Values from VASP.

```
&SYSTEM
  ibrav = 0, nat = 12, ntyp = 3
/
ATOMIC_SPECIES
Li 6.94 Li.upf
Y 88.91 Y.upf
Ir 192.22 Ir.upf
CELL_PARAMETERS angstrom
4.163 0.000 0.000
-2.082 3.606 0.000
0.000 0.000 22.533
ATOMIC_POSITIONS angstrom
Li 0.000 0.000 0.000
Li 0.000 2.404 15.022
Li 2.082 1.202 7.511
Y 0.000 0.000 12.533
Y 0.000 0.000 17.283
Y 0.000 2.404 5.022
Y 0.000 2.404 9.772
Y 2.082 1.202 2.261
Y 2.082 1.202 20.044
Ir 0.000 0.000 3.618
Ir 0.000 2.404 18.640
Ir 2.082 1.202 11.129
```

DFT formation energy   -0.3522 eV per atom
D(E_F)   5.8 states/eV per cell
M_tot   0.00 μB per formula unit
E   -6.278 eV/atom
Density   5.55 g/cm³